! PBE RbSmAg2Br8, optimized geometry; values from VASP
&SYSTEM
  ibrav = 0, nat = 12, ntyp = 4
/
ATOMIC_SPECIES
Rb 85.47 Rb.upf
Sm 150.36 Sm.upf
Ag 107.87 Ag.upf
Br 79.90 Br.upf
ATOMIC_POSITIONS crystal
Rb 0.0000 0.0000 0.0000
Sm 0.2500 0.7500 0.5000
Ag 0.5000 0.5000 0.0000
Ag 0.7500 0.2500 0.5000
Br 0.2786 0.6966 0.1590
Br 0.3034 0.4624 0.5820
Br 0.3986 0.0167 0.0355
Br 0.5376 0.1196 0.8410
Br 0.6369 0.6014 0.6181
Br 0.8804 0.7214 0.4180
Br 0.9812 0.3631 0.9645
Br 0.9833 0.0188 0.3819
CELL_PARAMETERS angstrom
-3.6015 3.6015 7.8606
3.6015 -3.6015 7.8606
3.6015 3.6015 -7.8606
! ΔE_f (raw)   -0.933 eV/atom
! Total energy   -3.00 eV/atom